Record 1
Material: ZrCuTc
Method: DFT, PBE
State: optimized geometry

The value obtained for the calculated volume is 96.8 Å³ per cell. As for the energy: -7.50 eV per atom. The value obtained for the density is 8.67 g cm⁻³. The formation energy from the elements comes out at 0.172 eV/atom. The total magnetization comes out at 0.000 μB per formula unit.

It has space group I4mm (No. 107), with a = 2.7851 Å, b = 2.7851 Å, c = 12.4850 Å, α = 90.00°, β = 90.00° and γ = 90.00°. The inequivalent atoms are Zr at (0.0000, 0.0000, 0.0000), Cu at (0.0000, 0.0000, 0.3296) and Tc at (0.0000, 0.0000, 0.6863).

---

Record 2
Material: CuTe5
Method: DFT, PBE
State: optimized geometry

The value obtained for the calculated volume is 162.2 Å³ per cell. As for the energy: -2.98 eV per atom. The value obtained for the density is 7.18 g cm⁻³. The total magnetization comes out at 0.000 μB per formula unit. Its energy relative to the elements, uncorrected is 30.8 kJ/mol of atoms.

It has space group P4/mmm (No. 123), with a = 3.5668 Å, b = 3.5668 Å, c = 12.7465 Å, α = 90.00°, β = 90.00° and γ = 90.00°. The inequivalent atoms are Cu at (0.0000, 0.0000, 0.0000), Te at (0.0000, 0.0000, 0.3380), Te at (0.5000, 0.5000, 0.1125) and Te at (0.5000, 0.5000, 0.5000).

---

Record 3
Material: Cu4Te5
Method: DFT, PBE
State: optimized geometry

The value obtained for the calculated volume is 399.5 Å³ per cell. As for the energy: -3.34 eV per atom. The value obtained for the density is 7.42 g cm⁻³. The total magnetization comes out at 0.000 μB per formula unit. Its energy relative to the elements, uncorrected is 21.5 kJ/mol of atoms.

It has space group P6_3/mcm (No. 193), with a = 7.7494 Å, b = 7.7494 Å, c = 7.6816 Å, α = 90.00°, β = 90.00° and γ = 120.00°. The inequivalent atoms are Cu at (0.0000, 0.0000, 0.0000), Cu at (0.0000, 0.4116, 0.2500), Te at (0.0000, 0.2486, 0.7500) and Te at (0.3333, 0.6667, 0.0000).

---

Record 4
Material: Cu3Te5
Method: DFT, PBE
State: optimized geometry

The value obtained for the calculated volume is 393.8 Å³ per cell. As for the energy: -3.22 eV per atom. The value obtained for the density is 6.99 g cm⁻³. The total magnetization comes out at 0.000 μB per formula unit. Its energy relative to the elements, uncorrected is 26.8 kJ/mol of atoms.

It has space group Cmmm (No. 65), with a = 8.1200 Å, b = 12.4571 Å, c = 3.8934 Å, α = 90.00°, β = 90.00° and γ = 90.00°. The inequivalent atoms are Cu at (0.0000, 0.0000, 0.0000), Cu at (0.0000, 0.1789, 0.5000), Te at (0.0000, 0.5000, 0.0000), Te at (0.2052, 0.0000, 0.5000) and Te at (0.2500, 0.2500, 0.0000).

---

Record 5
Material: CuTe4
Method: DFT, PBE
State: optimized geometry

The value obtained for the calculated volume is 753.4 Å³ per cell. As for the energy: -3.24 eV per atom. The value obtained for the density is 5.06 g cm⁻³. The total magnetization comes out at 0.000 μB per formula unit. Its energy relative to the elements, uncorrected is 8.9 kJ/mol of atoms.

It has space group C2/m (No. 12), with a = 7.7948 Å, b = 8.9965 Å, c = 10.8068 Å, α = 90.00°, β = 96.17° and γ = 90.00°. The inequivalent atoms are Cu at (0.0000, 0.2372, 0.0000), Te at (0.0792, 0.0000, 0.3787), Te at (0.2310, 0.0000, 0.7623) and Te at (0.2334, 0.3277, 0.8531).

---

Record 6
Material: Cu3Te
Method: DFT, PBE
State: optimized geometry

The value obtained for the calculated volume is 128.4 Å³ per cell. As for the energy: -3.73 eV per atom. The value obtained for the density is 8.23 g cm⁻³. The total magnetization comes out at 0.000 μB per formula unit. Its energy relative to the elements, uncorrected is 12.0 kJ/mol of atoms.

It has space group P6_3/mmc (No. 194), with a = 5.9657 Å, b = 5.9657 Å, c = 4.1655 Å, α = 90.00°, β = 90.00° and γ = 120.00°. The inequivalent atoms are Cu at (0.1427, 0.2854, 0.2500) and Te at (0.3333, 0.6667, 0.7500).